The following is a DFT calculation (PBE) of a geometry-optimized KPmSnS3 structure.

Cell lengths 8.071, 4.095, 12.028 Å; angles 90.00, 107.24, 90.00 degrees
Element x y z (fractional)
1 K 0.200 0.250 0.228
2 K 0.800 0.750 0.772
3 Pm 0.363 0.750 0.855
4 Pm 0.637 0.250 0.145
5 Sn 0.175 0.250 0.572
6 Sn 0.825 0.750 0.428
7 S 0.109 0.250 0.770
8 S 0.386 0.750 0.091
9 S 0.390 0.750 0.624
10 S 0.610 0.250 0.376
11 S 0.614 0.250 0.909
12 S 0.891 0.750 0.230

Results
Total energy   -5.0630 eV per atom
E_form (uncorrected)   -8.145 eV/f.u.
Theoretical density   3.49 g cm⁻³
Total magnetic moment   0.000 μB/f.u.

***

The following is a DFT calculation (PBE) of a geometry-optimized K3Pm2SnS6 structure.

Cell lengths 7.163, 7.163, 7.751 Å; angles 98.85, 98.85, 120.00 degrees
Element x y z (fractional)
1 K 0.000 0.000 0.000
2 K 0.334 0.666 0.000
3 K 0.666 0.334 0.000
4 Pm 0.167 0.833 0.500
5 Pm 0.833 0.167 0.500
6 Sn 0.500 0.500 0.500
7 S 0.104 0.432 0.295
8 S 0.241 0.241 0.704
9 S 0.432 0.104 0.295
10 S 0.568 0.896 0.705
11 S 0.759 0.759 0.296
12 S 0.896 0.568 0.705

Results
Total energy   -4.9306 eV per atom
E_form (uncorrected)   -17.606 eV/f.u.
Theoretical density   3.64 g cm⁻³
Total magnetic moment   0.000 μB/f.u.

***

The following is a DFT calculation (PBE) of a geometry-optimized K3Pm3TaS8 structure.

Cell lengths 8.854, 8.854, 8.854 Å; angles 53.91, 53.91, 53.91 degrees
Element x y z (fractional)
1 K 0.000 0.500 0.500
2 K 0.500 0.000 0.500
3 K 0.500 0.500 0.000
4 Pm 0.000 0.000 0.500
5 Pm 0.000 0.500 0.000
6 Pm 0.500 0.000 0.000
7 Ta 0.500 0.500 0.500
8 S 0.237 0.237 0.237
9 S 0.264 0.714 0.714
10 S 0.286 0.286 0.736
11 S 0.286 0.736 0.286
12 S 0.714 0.264 0.714
13 S 0.714 0.714 0.264
14 S 0.736 0.286 0.286
15 S 0.763 0.763 0.763

Results
Total energy   -5.7939 eV per atom
E_form (uncorrected)   -24.492 eV/f.u.
Theoretical density   3.90 g cm⁻³
Total magnetic moment   0.770 μB/f.u.

***

The following is a DFT calculation (PBE) of a geometry-optimized KTbPm4S8 structure.

Cell lengths 8.358, 8.358, 8.358 Å; angles 60.54, 60.54, 60.54 degrees
Element x y z (fractional)
1 K 0.000 0.000 0.000
2 Tb 0.627 0.627 0.627
3 Pm 0.110 0.627 0.627
4 Pm 0.247 0.247 0.247
5 Pm 0.627 0.110 0.627
6 Pm 0.627 0.627 0.110
7 S 0.381 0.381 0.381
8 S 0.383 0.383 0.849
9 S 0.383 0.849 0.383
10 S 0.422 0.853 0.853
11 S 0.849 0.383 0.383
12 S 0.853 0.422 0.853
13 S 0.853 0.853 0.422
14 S 0.858 0.858 0.858

Results
Total energy   -6.0469 eV per atom
E_form (uncorrected)   -26.907 eV/f.u.
Theoretical density   4.11 g cm⁻³
Total magnetic moment   0.000 μB/f.u.

***

The following is a DFT calculation (PBE) of a geometry-optimized K2TbPmS4 structure.

Cell lengths 7.133, 4.118, 7.756 Å; angles 90.00, 107.83, 90.00 degrees
Element x y z (fractional)
1 K 0.000 0.000 0.000
2 K 0.500 0.500 0.000
3 Tb 0.000 0.500 0.500
4 Pm 0.500 0.000 0.500
5 S 0.230 0.000 0.703
6 S 0.260 0.500 0.295
7 S 0.740 0.500 0.705
8 S 0.770 0.000 0.297

Results
Total energy   -5.3842 eV per atom
E_form (uncorrected)   -14.988 eV/f.u.
Theoretical density   3.91 g cm⁻³
Total magnetic moment   0.000 μB/f.u.

***

The following is a DFT calculation (PBE) of a geometry-optimized K3Pm3TcS8 structure.

Cell lengths 8.839, 8.839, 8.839 Å; angles 54.17, 54.17, 54.17 degrees
Element x y z (fractional)
1 K 0.000 0.500 0.500
2 K 0.500 0.000 0.500
3 K 0.500 0.500 0.000
4 Pm 0.000 0.000 0.500
5 Pm 0.000 0.500 0.000
6 Pm 0.500 0.000 0.000
7 Tc 0.500 0.500 0.500
8 S 0.236 0.236 0.236
9 S 0.265 0.712 0.712
10 S 0.288 0.288 0.735
11 S 0.288 0.735 0.288
12 S 0.712 0.265 0.712
13 S 0.712 0.712 0.265
14 S 0.735 0.288 0.288
15 S 0.764 0.764 0.764

Results
Total energy   -5.5495 eV per atom
E_form (uncorrected)   -22.313 eV/f.u.
Theoretical density   3.57 g cm⁻³
Total magnetic moment   2.999 μB/f.u.

***

The following is a DFT calculation (PBE) of a geometry-optimized K4PmTh3S8 structure.

Cell lengths 8.867, 8.867, 8.867 Å; angles 55.29, 55.29, 55.29 degrees
Element x y z (fractional)
1 K 0.000 0.000 0.000
2 K 0.000 0.500 0.500
3 K 0.500 0.000 0.500
4 K 0.500 0.500 0.000
5 Pm 0.500 0.500 0.500
6 Th 0.000 0.000 0.500
7 Th 0.000 0.500 0.000
8 Th 0.500 0.000 0.000
9 S 0.234 0.739 0.739
10 S 0.238 0.238 0.238
11 S 0.261 0.261 0.766
12 S 0.261 0.766 0.261
13 S 0.739 0.234 0.739
14 S 0.739 0.739 0.234
15 S 0.762 0.762 0.762
16 S 0.766 0.261 0.261

Results
Total energy   -5.7480 eV per atom
E_form (uncorrected)   -27.549 eV/f.u.
Theoretical density   4.74 g cm⁻³
Total magnetic moment   0.000 μB/f.u.

***

The following is a DFT calculation (PBE) of a geometry-optimized K3Pm2ThS6 structure.

Cell lengths 9.748, 9.748, 8.829 Å; angles 107.83, 107.83, 24.57 degrees
Element x y z (fractional)
1 K 0.000 0.000 0.000
2 K 0.331 0.331 0.667
3 K 0.669 0.669 0.333
4 Pm 0.331 0.331 0.161
5 Pm 0.669 0.669 0.839
6 Th 0.000 0.000 0.500
7 S 0.155 0.155 0.604
8 S 0.175 0.175 0.062
9 S 0.492 0.492 0.275
10 S 0.508 0.508 0.725
11 S 0.825 0.825 0.938
12 S 0.845 0.845 0.396

Results
Total energy   -5.5494 eV per atom
E_form (uncorrected)   -21.614 eV/f.u.
Theoretical density   4.17 g cm⁻³
Total magnetic moment   0.000 μB/f.u.